[1]
Density functional theory data (PBE) for a geometry-optimized MgZr2Re structure.

a = 3.015 Å, b = 3.015 Å, c = 9.675 Å
α = 90.00°, β = 90.00°, γ = 111.27°
Positions (direct):
Re (0.500, 0.500, 0.750)
Mg (0.500, 0.500, 0.250)
Zr (0.000, 0.000, 0.969)
Zr (0.000, 0.000, 0.531)

Properties
For the electronic total energy, the calculation gives -7.785 eV per atom. The calculation puts the formation energy from the elements at -0.0002 eV per atom.

***

[2]
Density functional theory data (PBE) for a geometry-optimized NaHoMgF6 structure.

a = 5.626 Å, b = 5.626 Å, c = 9.522 Å
α = 90.00°, β = 90.00°, γ = 120.00°
Positions (direct):
Na (0.000, 0.000, 0.500)
Na (0.000, 0.000, 0.000)
F (0.022, 0.370, 0.137)
F (0.652, 0.022, 0.863)
F (0.978, 0.348, 0.637)
F (0.630, 0.978, 0.363)
F (0.370, 0.022, 0.637)
F (0.370, 0.348, 0.863)
F (0.978, 0.630, 0.863)
F (0.348, 0.978, 0.137)
F (0.348, 0.370, 0.363)
F (0.022, 0.652, 0.363)
F (0.652, 0.630, 0.637)
F (0.630, 0.652, 0.137)
Mg (0.333, 0.667, 0.250)
Mg (0.667, 0.333, 0.750)
Ho (0.667, 0.333, 0.250)
Ho (0.333, 0.667, 0.750)

Properties
For the electronic total energy, the calculation gives -5.676 eV per atom. Its uncorrected formation energy is -3.60 eV per atom.

***

Which of these has the lowest electronic total energy? MgZr2Re